A plane-wave DFT calculation with PBE was carried out for a relaxed structure of KCa2TlO.

Structure (CIF):
```
data_KCa2TlO
_cell_length_a 4.8034
_cell_length_b 4.8034
_cell_length_c 5.6455
_cell_angle_alpha 90.00
_cell_angle_beta 90.00
_cell_angle_gamma 90.00
_space_group_name_H-M_alt 'P 4/m m m'
_space_group_IT_number 123
_space_group_name_Hall '-P 4 2'
loop_
_atom_site_label
_atom_site_type_symbol
_atom_site_fract_x
_atom_site_fract_y
_atom_site_fract_z
K1 K 0.0000 0.0000 0.0000
Ca1 Ca 0.0000 0.5000 0.5000
Tl1 Tl 0.5000 0.5000 0.0000
O1 O 0.0000 0.0000 0.5000
```

Output
The calculation puts the energy relative to the elements, uncorrected at -106.1 kJ/mol of atoms.